i | Cd2InPb | PBEsol | optimized geometry

CIF file:
```
data_Cd2InPb
_chemical_formula_sum 'Cd4 In2 Pb2'
_cell_length_a 11.075
_cell_length_b 3.303
_cell_length_c 5.531
_cell_angle_alpha 90.00
_cell_angle_beta 104.82
_cell_angle_gamma 90.00
_space_group_name_H-M_alt 'C 1 m 1'
_space_group_IT_number 8
loop_
_space_group_symop_operation_xyz
'x,y,z'
'x,-y,z'
'x+1/2,y+1/2,z'
'x+1/2,-y+1/2,z'
loop_
_atom_site_label
_atom_site_fract_x
_atom_site_fract_y
_atom_site_fract_z
_atom_site_occupancy
Cd1 0.000 0.000 0.000 1
Cd2 0.228 0.500 0.264 1
In1 0.478 0.000 0.480 1
Pb1 0.246 0.000 0.772 1
```

## Properties
Fermi-level density of states   0.46 states/eV per atom

***

ii | Cd2InPb | PBEsol | optimized geometry

CIF file:
```
data_Cd2InPb
_chemical_formula_sum 'Cd2 In1 Pb1'
_cell_length_a 3.279
_cell_length_b 3.279
_cell_length_c 9.012
_cell_angle_alpha 90.00
_cell_angle_beta 90.00
_cell_angle_gamma 90.00
_space_group_name_H-M_alt 'P 4 m m'
_space_group_IT_number 99
loop_
_space_group_symop_operation_xyz
'x,y,z'
'-y,x,z'
'-x,-y,z'
'y,-x,z'
'-x,y,z'
'y,x,z'
'x,-y,z'
'-y,-x,z'
loop_
_atom_site_label
_atom_site_fract_x
_atom_site_fract_y
_atom_site_fract_z
_atom_site_occupancy
Cd1 0.000 0.000 0.000 1
Cd2 0.500 0.500 0.215 1
In1 0.000 0.000 0.457 1
Pb1 0.500 0.500 0.741 1
```

## Properties
Fermi-level density of states   0.43 states/eV per atom

***

The energetic minimum among the shown structures is ii; the next structure lies 1.9 kJ/mol of atoms above.